## CdNi2Sb (GGA-PBE)

Data for an optimized crystal structure of CdNi2Sb.

Summary:
Total moment, μB/f.u.: 0.0
Raw total energy, eV per atom: -4.10

Lattice parameters (Å, degrees): 3.193 3.193 6.899 90.00 90.00 90.00
Positions (direct):
1 Cd 0.000 0.000 0.000
2 Ni 0.000 0.000 0.400
3 Ni 0.500 0.500 0.216
4 Sb 0.500 0.500 0.598